Entry from the Alexandria database: a crystal of InFe2Pb relaxed with PBEsol (SCAN).

Cell: 6.1448 6.1448 6.1448 Å, 151.50 138.41 51.19°
Element x y z (fractional)
In: 0.0000 0.0000 0.0000
Fe: 0.5017 0.5017 0.0000
Fe: 0.6622 0.1622 0.5000
Pb: 0.2732 0.7732 0.5000

Calculated values
As for the space group: Imm2. As for the electronic total energy: -144.04 eV for the cell shown. For the density of states at the Fermi level, the calculation gives 2.60 states/eV/f.u.

***

Entry from the Alexandria database: a crystal of LaWSeBr2 relaxed with PBEsol (SCAN).

Cell: 5.6176 5.6176 5.8156 Å, 90.00 90.00 90.00°
Element x y z (fractional)
La: 0.0000 0.0000 0.0000
W: 0.5000 0.5000 0.5000
Se: 0.0000 0.0000 0.5000
Br: 0.0000 0.5000 0.0000
Br: 0.5000 0.0000 0.0000

Calculated values
As for the space group: P4/mmm. As for the electronic total energy: -170.95 eV for the cell shown. For the density of states at the Fermi level, the calculation gives 2.87 states/eV/f.u. For the uncorrected formation energy, the calculation gives 0.84 eV per formula unit.

***

Entry from the Alexandria database: a crystal of MgZr2Zn relaxed with PBEsol (SCAN).

Cell: 5.7540 5.7540 5.7540 Å, 148.34 127.59 62.54°
Element x y z (fractional)
Mg: 0.0000 0.0000 0.0000
Zr: 0.4592 0.4592 0.0000
Zr: 0.7227 0.2227 0.5000
Zn: 0.2189 0.7189 0.5000

Calculated values
As for the space group: Imm2. As for the electronic total energy: -80.31 eV for the cell shown. For the density of states at the Fermi level, the calculation gives 3.65 states/eV/f.u.

***

Entry from the Alexandria database: a crystal of TaAl2Tc relaxed with PBEsol (SCAN).

Cell: 3.2069 3.2069 5.9219 Å, 90.00 90.00 90.00°
Element x y z (fractional)
Ta: 0.0000 0.0000 0.0000
Al: 0.0000 0.0000 0.4761
Al: 0.5000 0.5000 0.7258
Tc: 0.5000 0.5000 0.2391

Calculated values
As for the space group: P4mm. As for the electronic total energy: -119.00 eV for the cell shown. For the density of states at the Fermi level, the calculation gives 1.81 states/eV/f.u.

***

Entry from the Alexandria database: a crystal of HgOs2Ru relaxed with PBEsol (SCAN).

Cell: 3.8823 3.8823 3.9943 Å, 90.00 90.00 90.00°
Element x y z (fractional)
Hg: 0.0000 0.0000 0.0000
Os: 0.0000 0.5000 0.5000
Os: 0.5000 0.0000 0.5000
Ru: 0.5000 0.5000 0.0000

Calculated values
As for the space group: P4/mmm. As for the electronic total energy: -243.04 eV for the cell shown. For the density of states at the Fermi level, the calculation gives 3.54 states/eV/f.u.

***

Entry from the Alexandria database: a crystal of CrRu2Au relaxed with PBEsol (SCAN).

Cell: 4.6105 4.6105 4.6105 Å, 131.12 131.12 71.62°
Element x y z (fractional)
Cr: 0.0000 0.0000 0.0000
Ru: 0.2500 0.7500 0.5000
Ru: 0.7500 0.2500 0.5000
Au: 0.5000 0.5000 0.0000

Calculated values
As for the space group: I4/mmm. As for the electronic total energy: -156.06 eV for the cell shown. For the density of states at the Fermi level, the calculation gives 3.83 states/eV/f.u.

***

Entry from the Alexandria database: a crystal of Na2SiPb relaxed with PBEsol (SCAN).

Cell: 5.0773 5.0773 5.0773 Å, 60.00 60.00 60.00°
Element x y z (fractional)
Na: 0.2500 0.2500 0.2500
Na: 0.7500 0.7500 0.7500
Si: 0.0000 0.0000 0.0000
Pb: 0.5000 0.5000 0.5000

Calculated values
As for the space group: Fm-3m. As for the electronic total energy: -93.71 eV for the cell shown. For the density of states at the Fermi level, the calculation gives 1.47 states/eV/f.u. For the uncorrected formation energy, the calculation gives 0.52 eV per formula unit.

***

Entry from the Alexandria database: a crystal of CoAg2CF relaxed with PBEsol (SCAN).

Cell: 4.8203 4.8203 3.4125 Å, 90.00 90.00 90.00°
Element x y z (fractional)
Co: 0.0000 0.0000 0.0000
Ag: 0.0000 0.5000 0.0000
Ag: 0.5000 0.0000 0.0000
C: 0.0000 0.0000 0.5000
F: 0.5000 0.5000 0.5000

Calculated values
As for the space group: P4/mmm. As for the electronic total energy: -90.24 eV for the cell shown. For the density of states at the Fermi level, the calculation gives 3.11 states/eV/f.u. For the uncorrected formation energy, the calculation gives 3.44 eV per formula unit.

***

Entry from the Alexandria database: a crystal of CsK2Hg2 relaxed with PBEsol (SCAN).

Cell: 10.1118 10.1118 3.9795 Å, 90.00 90.00 90.00°
Element x y z (fractional)
Cs: 0.0000 0.0000 0.0000
Cs: 0.5000 0.5000 0.0000
K: 0.1277 0.3723 0.0000
K: 0.3723 0.8723 0.0000
K: 0.6277 0.1277 0.0000
K: 0.8723 0.6277 0.0000
Hg: 0.1677 0.6677 0.5000
Hg: 0.3323 0.1677 0.5000
Hg: 0.6677 0.8323 0.5000
Hg: 0.8323 0.3323 0.5000

Calculated values
As for the space group: P4/mbm. As for the electronic total energy: -383.48 eV for the cell shown. For the density of states at the Fermi level, the calculation gives 5.02 states/eV/f.u.

***

Entry from the Alexandria database: a crystal of LaScIn2 relaxed with PBEsol (SCAN).

Cell: 5.6384 5.6384 3.3230 Å, 90.00 90.00 108.11°
Element x y z (fractional)
La: 0.0000 0.0000 0.0000
Sc: 0.5000 0.5000 0.0000
In: 0.0000 0.5000 0.5000
In: 0.5000 0.0000 0.5000

Calculated values
As for the space group: Cmmm. As for the electronic total energy: -126.18 eV for the cell shown. For the density of states at the Fermi level, the calculation gives 2.66 states/eV/f.u.

***

Entry from the Alexandria database: a crystal of Pr3Cu4Sn4 relaxed with PBEsol (SCAN).

Cell: 8.5258 8.5258 8.5258 Å, 149.02 132.09 58.15°
Element x y z (fractional)
Pr: 0.0000 0.0000 0.0000
Pr: 0.3665 0.8665 0.5000
Pr: 0.6335 0.1335 0.5000
Cu: 0.0150 0.3321 0.6829
Cu: 0.3508 0.6679 0.6829
Cu: 0.6492 0.3321 0.3171
Cu: 0.9850 0.6679 0.3171
Sn: 0.2164 0.2164 0.0000
Sn: 0.2989 0.5000 0.7989
Sn: 0.7011 0.5000 0.2011
Sn: 0.7836 0.7836 0.0000

Calculated values
As for the space group: Immm. As for the electronic total energy: -341.24 eV for the cell shown. For the density of states at the Fermi level, the calculation gives 2.58 states/eV/f.u.

***

Entry from the Alexandria database: a crystal of TiNb3Ni12 relaxed with PBEsol (SCAN).

Cell: 4.1606 10.1043 4.4935 Å, 90.00 90.00 90.00°
Element x y z (fractional)
Ti: 0.0000 0.0000 0.0000
Nb: 0.0000 0.5000 0.9984
Nb: 0.5000 0.2486 0.3034
Nb: 0.5000 0.7514 0.3034
Ni: 0.0000 0.1218 0.4910
Ni: 0.0000 0.2477 0.9638
Ni: 0.0000 0.3751 0.4917
Ni: 0.0000 0.6249 0.4917
Ni: 0.0000 0.7523 0.9638
Ni: 0.0000 0.8782 0.4910
Ni: 0.5000 0.0000 0.3335
Ni: 0.5000 0.1237 0.8114
Ni: 0.5000 0.3738 0.8106
Ni: 0.5000 0.5000 0.3363
Ni: 0.5000 0.6262 0.8106
Ni: 0.5000 0.8763 0.8114

Calculated values
As for the space group: Pmm2. As for the electronic total energy: -314.32 eV for the cell shown. For the density of states at the Fermi level, the calculation gives 10.31 states/eV/f.u.

***

- The highest electronic total energy belongs to which entry?
  MgZr2Zn

***

- The lowest electronic total energy belongs to which entry?
  CsK2Hg2

***

- Which of these has the highest electronic total energy?
  MgZr2Zn

***

- Look up the electronic total energy of the tenth one.
  -126.18 eV for the cell shown